Here is Hf2CoIr after structural relaxation from OQMD via LeMat-Bulk. Energies are from PBE.

Calculated values
Space-group type: P4/mmm
E above lowest polymorph: 7 meV/atom
Spin magnetization: 1.1 μB per cell

Unit cell a=4.480 b=4.480 c=3.326 alpha=90.00 beta=90.00 gamma=90.00
Sites, in units of the cell vectors:
Hf (0.000, 0.500, 0.000)
Hf (0.500, 0.000, 0.000)
Co (0.000, 0.000, 0.500)
Ir (0.500, 0.500, 0.500)